(1)
A plane-wave DFT calculation with GGA-PBE was carried out for a relaxed structure of ErPd7Pb2.

DFT formation energy, meV/atom: -134
ρ, g/cm³: 9.73

The structure in extended XYZ format:
```
10
Lattice="4.257 0.000 0.000 0.000 8.051 -0.599 0.000 -4.167 6.915" Properties=species:S:1:pos:R:3 pbc="T T T"
Pd 0.000 5.701 0.847
Pd 2.128 1.928 0.396
Pd 2.128 1.956 5.920
Pd 2.128 1.942 3.158
Pd 0.000 -1.816 5.470
Pd 2.128 -0.516 1.899
Pd 2.128 4.401 4.417
Er 0.000 0.000 0.000
Pb 2.128 4.305 1.705
Pb 2.128 -0.421 4.611
```

(2)
A plane-wave DFT calculation with GGA-PBE was carried out for a relaxed structure of TaBeCo2.

DFT formation energy, meV/atom: -174
ρ, g/cm³: 10.79

The structure in extended XYZ format:
```
4
Lattice="3.798 0.000 0.000 0.000 3.798 0.000 0.000 0.000 3.285" Properties=species:S:1:pos:R:3 pbc="T T T"
Co 0.000 0.000 0.000
Co 1.899 1.899 0.000
Be 0.000 1.899 1.643
Ta 1.899 0.000 1.643
```

(3)
A plane-wave DFT calculation with GGA-PBE was carried out for a relaxed structure of Er3InAu2.

DFT formation energy, meV/atom: -745
ρ, g/cm³: 11.72

The structure in extended XYZ format:
```
6
Lattice="-0.297 -2.033 -2.913 3.544 0.028 -0.381 0.758 -9.257 6.383" Properties=species:S:1:pos:R:3 pbc="T T T"
Er 0.000 0.000 0.000
Er 0.519 -6.335 4.368
Er 0.239 -2.922 2.015
Au 1.747 -2.515 -0.605
Au 2.258 -8.748 3.694
In 2.003 -5.631 1.545
```

(4)
A plane-wave DFT calculation with GGA-PBE was carried out for a relaxed structure of Tl7In3Pb.

DFT formation energy, meV/atom: 98
Energy above the lowest structure with this stoichiometry, eV/f.u.: 0.45
ρ, g/cm³: 9.27

The structure in extended XYZ format:
```
11
Lattice="-5.504 1.091 -1.815 2.096 -8.071 -0.976 0.387 -1.278 8.289" Properties=species:S:1:pos:R:3 pbc="T T T"
Tl -0.530 -4.543 -0.729
Tl -2.466 -6.753 4.497
Tl -1.561 -7.412 1.184
Tl -2.491 -3.715 6.227
Tl -1.460 -0.846 4.313
Tl -0.554 -1.505 1.001
Tl 1.242 -4.675 3.656
In 1.709 -6.530 1.126
In 0.775 -2.819 6.187
In -2.752 0.545 -0.908
Pb -1.510 -4.129 2.749
```

(5)
A plane-wave DFT calculation with GGA-PBE was carried out for a relaxed structure of LaPuSb.

Formation energy (no corrections), eV/atom: -0.267
ρ, g/cm³: 10.25

The structure in extended XYZ format:
```
3
Lattice="-1.463 3.045 -0.435 -3.221 -0.968 4.050 4.639 2.347 0.829" Properties=species:S:1:pos:R:3 pbc="T T T"
Sb -1.462 3.044 -0.435
La -1.332 1.658 2.759
Pu 1.287 2.767 1.685
```

(6)
A plane-wave DFT calculation with GGA-PBE was carried out for a relaxed structure of Zn2SnO2.

Energy above the lowest structure with this stoichiometry, eV/f.u.: 2.49
Formation energy (no corrections), eV/atom: -0.181
ρ, g/cm³: 6.54

The structure in extended XYZ format:
```
10
Lattice="-6.844 0.761 -1.464 0.933 -3.363 -6.114 -0.557 -2.515 1.298" Properties=species:S:1:pos:R:3 pbc="T T T"
O -3.769 -3.709 -5.598
O -5.895 -1.843 -2.896
O -2.699 -1.408 -0.682
O -0.573 -3.274 -3.384
Zn -0.462 -1.189 -2.502
Zn -5.449 -1.413 -5.076
Zn -4.128 0.070 -1.637
Zn -1.783 -2.672 -5.941
Sn 0.000 0.000 0.000
Sn -2.955 -1.301 -3.789
```

(7)
A plane-wave DFT calculation with GGA-PBE was carried out for a relaxed structure of SrAuSe2.

Energy above the lowest structure with this stoichiometry, eV/f.u.: 2.11
Formation energy (no corrections), eV/atom: -0.436
ρ, g/cm³: 7.53

The structure in extended XYZ format:
```
4
Lattice="-0.460 -3.922 -3.333 -0.016 -4.870 1.727 -4.356 -2.775 -0.138" Properties=species:S:1:pos:R:3 pbc="T T T"
Se -1.208 -2.892 -0.436
Se 0.000 0.000 0.000
Au -2.416 -5.783 -0.872
Sr -3.625 -8.675 -1.308
```

(8)
A plane-wave DFT calculation with GGA-PBE was carried out for a relaxed structure of MgZn5Au4.

DFT formation energy, meV/atom: -247
Energy above the lowest structure with this stoichiometry, eV/f.u.: 0.00
ρ, g/cm³: 11.39

The structure in extended XYZ format:
```
10
Lattice="-3.847 -2.203 0.073 2.499 -4.447 -2.463 2.599 0.148 6.744" Properties=species:S:1:pos:R:3 pbc="T T T"
Au 2.163 -3.802 -0.727
Au -0.912 -2.699 5.081
Au 2.096 -3.585 2.317
Au -0.846 -2.917 2.036
Zn -0.674 -3.325 -1.195
Zn 0.281 -4.827 3.781
Zn 0.440 -5.203 0.829
Zn 0.811 -1.299 3.524
Zn 0.970 -1.675 0.573
Mg -1.923 -1.101 0.037
```

| no. | VASP energy (eV/atom) | total magnetic moment (Bohr magnetons per cell) |
| --- | --- | --- |
| 1 | -4.967 | 0.00 |
| 2 | -7.622 | 0.00 |
| 3 | -4.575 | 0.00 |
| 4 | -2.491 | 0.00 |
| 5 | -8.061 | 6.43 |
| 6 | -3.475 | 0.00 |
| 7 | -3.418 | 0.00 |
| 8 | -2.355 | 0.00 |